No. 1
Fe after structural relaxation. Source: the Alexandria database, functional PBE.

Cell and atoms, written as POSCAR:
```
Fe
1.0
-0.780 -2.217 5.436
1.666 -2.297 -5.984
1.415 4.211 1.304
Fe
6
Direct
0.611 0.773 0.388
0.873 0.041 0.128
0.127 0.959 0.872
0.861 0.385 0.138
0.389 0.227 0.612
0.139 0.615 0.862
```

The value obtained for the total energy is -8.272 eV/atom. The theoretical density comes out at 8.963 g/cm³. Its formation energy is 0.19 eV/atom.

No. 2
Pm5SnIr2 after structural relaxation. Source: the Alexandria database, functional PBE.

Cell and atoms, written as POSCAR:
```
Pm5SnIr2
1.0
-6.235 4.647 -1.750
-4.816 -6.343 0.314
4.475 1.980 7.466
Ir Pm Sn
4 10 2
Direct
0.362 0.862 0.000
0.638 0.138 0.000
0.138 0.362 0.000
0.862 0.638 0.000
0.795 0.973 0.268
0.295 0.795 0.268
0.500 0.500 0.000
0.027 0.527 0.732
0.473 0.295 0.268
0.205 0.027 0.732
0.705 0.205 0.732
0.973 0.473 0.268
0.527 0.705 0.732
0.000 0.000 0.000
0.750 0.750 0.500
0.250 0.250 0.500
```

The value obtained for the total energy is -6.349 eV/atom. The theoretical density comes out at 9.274 g/cm³. Its formation energy is -0.66 eV/atom.

No. 3
BeAgN after structural relaxation. Source: the Alexandria database, functional PBE.

Cell and atoms, written as POSCAR:
```
BeAgN
1.0
-2.231 -0.446 2.089
1.927 -1.550 1.727
1.903 6.081 3.333
Ag N Be
2 2 2
Direct
0.170 0.687 0.790
0.670 0.187 0.064
0.170 0.187 0.542
0.670 0.687 0.312
0.170 0.687 0.408
0.670 0.187 0.446
```

The formation energy (no corrections) comes out at -0.20 eV per atom. The value obtained for the total energy is -5.171 eV/atom. The theoretical density comes out at 6.489 g/cm³.